The following is a PBE-GGA calculation of a geometry-optimized Co4Ge structure, from Alexandria via LeMat-Bulk.

Cell lengths 2.423, 2.423, 11.818 Å; angles 90.00, 90.00, 90.00 degrees
Space group P4/mmm (No. 123)
Inequivalent atoms, fractional coordinates:
1 Co 0.000 0.000 0.098
2 Co 0.000 0.000 0.290
3 Ge 0.000 0.000 0.500

Properties
**DOS at the Fermi energy**: 7.04 states/eV/f.u.
**Uncorrected energy**: -5.8502 eV/atom
**Total magnetic moment**: 7.125 μB/f.u.
**Volume**: 13.9 Å³/atom

The following is a PBE-GGA calculation of a geometry-optimized Co5Ge7 structure, from Alexandria via LeMat-Bulk.

Cell lengths 11.476, 2.800, 10.568 Å; angles 90.00, 99.25, 90.00 degrees
Space group C2/m (No. 12)
Inequivalent atoms, fractional coordinates:
1 Co 0.000 0.000 0.000
2 Co 0.149 0.000 0.436
3 Co 0.157 0.500 0.832
4 Ge 0.000 0.500 0.500
5 Ge 0.013 0.000 0.239
6 Ge 0.173 0.500 0.066
7 Ge 0.218 0.000 0.664

Properties
**DOS at the Fermi energy**: 7.11 states/eV/f.u.
**Uncorrected energy**: -5.7105 eV/atom
**Total magnetic moment**: 0.001 μB/f.u.
**Volume**: 14.0 Å³/atom

The following is a PBE-GGA calculation of a geometry-optimized Co4Ge structure, from Alexandria via LeMat-Bulk.

Cell lengths 4.268, 4.268, 4.268 Å; angles 90.00, 90.00, 90.00 degrees
Space group Pm-3m (No. 221)
Inequivalent atoms, fractional coordinates:
1 Co 0.000 0.000 0.000
2 Co 0.000 0.500 0.500
3 Ge 0.500 0.500 0.500

Properties
**DOS at the Fermi energy**: 9.21 states/eV/f.u.
**Uncorrected energy**: -5.4987 eV/atom
**Total magnetic moment**: 6.230 μB/f.u.
**Volume**: 15.6 Å³/atom

The following is a PBE-GGA calculation of a geometry-optimized Co5Ge6 structure, from Alexandria via LeMat-Bulk.

Cell lengths 7.039, 9.249, 4.809 Å; angles 90.00, 104.29, 90.00 degrees
Space group C2/m (No. 12)
Inequivalent atoms, fractional coordinates:
1 Co 0.000 0.000 0.000
2 Co 0.000 0.143 0.500
3 Co 0.000 0.286 0.000
4 Ge 0.208 0.500 0.216
5 Ge 0.225 0.343 0.723

Properties
**DOS at the Fermi energy**: 8.35 states/eV/f.u.
**Uncorrected energy**: -5.7128 eV/atom
**Total magnetic moment**: 1.887 μB/f.u.
**Volume**: 13.8 Å³/atom